V2PtW: relaxed, PBE.

Summary:
Magnetization: 0.00 Bohr magnetons per cell
Total DFT energy (no corrections): -0.351 Ha/atom
V: 14.70 Å³/atom
Space group: P4/mmm

Cell: 3.126 3.126 6.014 Å, 90.00 90.00 90.00°
Positions (direct):
V  0.000  0.000  0.238
V  0.000  0.000  0.762
Pt  0.500  0.500  0.500
W  0.500  0.500  0.000